A plane-wave DFT calculation with GGA-PBE was carried out for Ce2TmGa6 after structural relaxation.

The energy above the lowest structure with this stoichiometry comes out at 0.203 eV per atom. The symmetry is Immm, No. 71. The value obtained for the energy of formation from the pure elements is -0.38 eV/atom. Its total energy is -4.216 eV per atom. The total magnetization is 0.015 μB/atom.

Cell: 7.745 7.745 7.745 Å, 146.79 126.13 64.77°
Element x y z (fractional)
Ce: 0.106 0.106 0.000
Ce: 0.894 0.894 0.000
Tm: 0.500 0.000 0.500
Ga: 0.116 0.309 0.807
Ga: 0.216 0.500 0.716
Ga: 0.498 0.691 0.807
Ga: 0.502 0.309 0.193
Ga: 0.784 0.500 0.284
Ga: 0.884 0.691 0.193